(1)
{"formula": "YTlHg", "functional": "GGA-PBE", "state": "relaxed", "e_above_lowest_polymorph_mev_per_atom": 0, "lattice_angstrom": [[5.226, 0.000, 0.000], [-2.613, 4.526, 0.000], [0.000, 0.000, 6.506]], "species": ["Hg", "Hg", "Tl", "Tl", "Y", "Y"], "fractional_positions": [[0.667, 0.333, 0.250], [0.333, 0.667, 0.750], [0.000, 0.000, 0.000], [0.000, 0.000, 0.500], [0.667, 0.333, 0.750], [0.333, 0.667, 0.250]]}

---

(2)
{"formula": "Tl2ZnHg", "functional": "GGA-PBE", "state": "relaxed", "total_energy_ev_per_cell": -5.73, "lattice_angstrom": [[0.000, 3.762, 3.762], [3.762, 0.000, 3.762], [3.762, 3.762, 0.000]], "species": ["Zn", "Hg", "Tl", "Tl"], "fractional_positions": [[0.750, 0.750, 0.750], [0.500, 0.500, 0.500], [0.000, 0.000, 0.000], [0.250, 0.250, 0.250]]}

---

(3)
{"formula": "ZrTlHg", "functional": "GGA-PBE", "state": "relaxed", "e_above_lowest_polymorph_mev_per_atom": 0, "lattice_angstrom": [[0.000, 3.369, 3.369], [3.369, 0.000, 3.369], [3.369, 3.369, 0.000]], "species": ["Tl", "Hg", "Zr"], "fractional_positions": [[0.250, 0.250, 0.250], [0.000, 0.000, 0.000], [0.750, 0.750, 0.750]]}

---

(4)
{"formula": "Zr6TlHg", "functional": "GGA-PBE", "state": "relaxed", "total_energy_ev_per_cell": -55.20, "lattice_angstrom": [[-1.262, -3.930, -3.813], [-3.543, -2.400, 3.645], [-4.178, 3.222, -1.939]], "species": ["Zr", "Zr", "Zr", "Zr", "Zr", "Zr", "Tl", "Hg"], "fractional_positions": [[0.500, 0.752, 0.000], [0.000, 0.500, 0.752], [0.000, 0.500, 0.248], [0.248, 0.000, 0.500], [0.500, 0.248, 0.000], [0.752, 0.000, 0.500], [0.500, 0.500, 0.500], [0.000, 0.000, 0.000]]}

---

(5)
{"formula": "TmHg", "functional": "GGA-PBE", "state": "relaxed", "ef_mev_per_atom": -281.3, "lattice_angstrom": [[-2.593, -0.423, -2.439], [1.109, -2.802, 1.941], [-3.219, 0.979, 3.252]], "species": ["Tm", "Hg"], "fractional_positions": [[0.333, 0.667, 0.250], [0.667, 0.333, 0.750]]}

---

(6)
{"formula": "Tm2Hg", "functional": "GGA-PBE", "state": "relaxed", "ef_mev_per_atom": 1315.8, "lattice_angstrom": [[4.517, 2.608, 7.376], [-4.517, 2.608, 7.376], [0.000, -5.215, 7.376]], "species": ["Hg", "Hg", "Tm", "Tm", "Tm", "Tm"], "fractional_positions": [[0.250, 0.250, 0.250], [0.500, 0.500, 0.500], [0.375, 0.375, 0.875], [0.375, 0.875, 0.375], [0.875, 0.375, 0.375], [0.375, 0.375, 0.375]]}

---

> Which formula does entry 3 have?

ZrTlHg